3
Lattice="0.0000 3.8634 3.8634 3.8634 0.0000 3.8634 3.8634 3.8634 0.0000" Properties=species:S:1:pos:R:3 comment="CsPmGe (GGA-PBE, optimized geometry)" energy_ev_per_atom=-3.174 spacegroup=F-43m pbc="T T T"
Cs 0.0000 0.0000 0.0000
Pm 3.8634 3.8634 3.8634
Ge 1.9317 1.9317 1.9317

***

12
Lattice="2.7473 1.5862 8.4779 -2.7473 1.5862 8.4779 0.0000 -3.1724 8.4779" Properties=species:S:1:pos:R:3 comment="TbY2Al7Cu2 (GGA-PBE, optimized geometry)" energy_ev_per_atom=-4.765 spacegroup=R-3m pbc="T T T"
Tb 0.0000 0.0000 0.0000
Y 0.0000 0.0000 3.6100
Y 0.0000 0.0000 21.8235
Al -1.3996 -0.8081 10.4760
Al 0.0000 -1.6161 14.9575
Al -1.3996 0.8081 14.9575
Al 0.0000 0.0000 12.7168
Al 1.3996 -0.8081 10.4760
Al 0.0000 1.6161 10.4760
Al 1.3996 0.8081 14.9575
Cu 0.0000 0.0000 8.5292
Cu 0.0000 0.0000 16.9044

***

24
Lattice="4.6269 -2.6677 0.0000 4.6269 2.6677 0.0000 -3.1381 0.0000 13.2287" Properties=species:S:1:pos:R:3 comment="Ta4Nb2Fe3C3 (GGA-PBE, optimized geometry)" energy_ev_per_atom=-10.277 spacegroup=C2/c pbc="T T T"
Ta 0.7655 0.4607 1.2112
Ta 0.7608 0.4439 5.4021
Ta -0.8036 -0.4607 7.8256
Ta -0.8083 -0.4439 12.0165
Ta 6.9241 0.4439 1.2122
Ta 6.9194 0.4607 5.4031
Ta 5.3550 -0.4439 7.8266
Ta 5.3503 -0.4607 12.0175
Nb 3.8619 0.4433 1.4323
Nb 3.8229 0.4433 5.1821
Nb 2.2929 -0.4433 8.0466
Nb 2.2539 -0.4433 11.7965
Fe 2.2734 2.2598 9.9215
Fe 0.0061 0.8570 9.9258
Fe 1.5751 -0.8570 3.3115
Fe 4.5407 0.8570 9.9172
Fe 6.1097 -0.8570 3.3029
Fe 3.8424 -2.2598 3.3072
C 2.3135 1.3339 0.0000
C 2.3067 1.2988 6.6144
C 5.3782 1.2988 0.0000
C 0.7444 -1.3339 6.6144
C 3.8757 -1.2988 0.0000
C 3.8091 -1.2988 6.6144

***

12
Lattice="4.9408 0.0000 0.0000 0.0000 5.1652 0.0000 -2.8542 0.0000 5.1662" Properties=species:S:1:pos:R:3 comment="BeAgN (GGA-PBE, optimized geometry)" energy_ev_per_atom=-5.068 spacegroup=P2_1/c pbc="T T T"
Be -0.8674 0.5971 1.8818
Be -2.2944 1.9855 4.4649
Be 4.3811 3.1797 0.7013
Be 2.9540 4.5681 3.2844
Ag 0.0840 3.0458 3.4732
Ag 1.5110 4.7020 0.8901
Ag 0.5756 0.4632 4.2761
Ag 2.0027 2.1194 1.6930
N -1.4934 1.0591 3.3737
N -0.0664 1.5235 0.7906
N 2.1530 3.6417 4.3756
N 3.5801 4.1061 1.7925

***

3
Lattice="0.0000 3.3496 3.3496 3.3496 0.0000 3.3496 3.3496 3.3496 0.0000" Properties=species:S:1:pos:R:3 comment="LaFeSn (GGA-PBE, optimized geometry)" energy_ev_per_atom=-5.890 spacegroup=F-43m pbc="T T T"
La 0.0000 0.0000 0.0000
Fe 1.6748 1.6748 1.6748
Sn 3.3496 3.3496 3.3496

***

12
Lattice="7.6764 0.0000 0.0000 0.0000 4.0714 0.0000 -2.5644 0.0000 9.3799" Properties=species:S:1:pos:R:3 comment="SrSmAgS3 (GGA-PBE, optimized geometry)" energy_ev_per_atom=-5.185 spacegroup=P2_1/m pbc="T T T"
Sr 1.2960 1.0179 1.9130
Sr 3.8160 3.0536 7.4669
Sm -0.1344 3.0536 6.1237
Sm 5.2464 1.0179 3.2563
Ag 0.7411 1.0179 8.5311
Ag 4.3709 3.0536 0.8488
S -0.4482 3.0536 3.3513
S -0.8090 3.0536 8.9609
S 1.7818 1.0179 6.2303
S 3.3302 3.0536 3.1497
S 5.9210 1.0179 0.4190
S 5.5602 1.0179 6.0286

***

8
Lattice="4.5593 0.0000 0.0000 0.0000 4.5593 0.0000 0.0000 0.0000 6.4491" Properties=species:S:1:pos:R:3 comment="Na2HfZrGe2Ir2 (GGA-PBE, optimized geometry)" energy_ev_per_atom=-6.386 spacegroup=P-4m2 pbc="T T T"
Na 0.0000 2.2796 1.6110
Na 2.2796 0.0000 4.8380
Hf 0.0000 0.0000 3.2245
Zr 2.2796 2.2796 0.0000
Ge 0.0000 0.0000 0.0000
Ge 2.2796 2.2796 3.2245
Ir 0.0000 2.2796 4.8183
Ir 2.2796 0.0000 1.6308

***

10
Lattice="9.4434 -1.9775 0.0000 9.4434 1.9775 0.0000 -1.7879 0.0000 8.2376" Properties=species:S:1:pos:R:3 comment="Nd2Ho2CI2Br3 (GGA-PBE, optimized geometry)" energy_ev_per_atom=-4.899 spacegroup=C2/m pbc="T T T"
Nd -0.3687 0.0000 1.6988
Nd -1.4192 0.0000 6.5389
Ho 5.3223 0.0000 7.6847
Ho 11.7765 0.0000 0.5530
C 9.4434 0.0000 0.0000
I 1.7957 0.0000 6.7825
I 15.3032 0.0000 1.4551
Br 2.4836 0.0000 2.6264
Br 8.5494 0.0000 4.1188
Br 14.6153 0.0000 5.6112